Entry from Alexandria via LeMat-Bulk: SrCu3Pd2 after structural relaxation (PBE).

Cell lengths 5.489, 6.388, 6.388 Å; angles 98.82, 90.00, 90.00 degrees
Atoms (fractional coordinates):
Sr 0.250 0.314 0.314
Sr 0.750 0.686 0.686
Cu 0.750 0.454 0.076
Cu 0.750 0.076 0.454
Cu 0.250 0.546 0.924
Cu 0.750 0.066 0.066
Cu 0.250 0.934 0.934
Cu 0.250 0.924 0.546
Pd 0.500 0.781 0.219
Pd 0.000 0.781 0.219
Pd 0.000 0.219 0.781
Pd 0.500 0.219 0.781

Output
energy of formation: -230 meV per atom
space group: No. 63


Entry from Alexandria via LeMat-Bulk: Ac2ZrCr2N6 after structural relaxation (PBE).

Cell lengths 5.905, 5.905, 6.511 Å; angles 63.03, 63.03, 60.00 degrees
Atoms (fractional coordinates):
Ac 0.775 0.775 0.674
Ac 0.225 0.225 0.326
Zr 0.000 0.000 0.000
Cr 0.434 0.434 0.697
Cr 0.566 0.566 0.303
N 0.752 0.752 0.245
N 0.251 0.752 0.245
N 0.752 0.251 0.245
N 0.248 0.749 0.755
N 0.749 0.248 0.755
N 0.248 0.248 0.755

Output
space group: No. 166
energy relative to the elements, uncorrected: -10.44 eV per formula unit


Entry from Alexandria via LeMat-Bulk: CsCa2C after structural relaxation (PBE).

Cell lengths 7.894, 7.894, 7.905 Å; angles 60.05, 60.05, 90.00 degrees
Atoms (fractional coordinates):
Cs 0.000 0.000 0.000
Cs 0.750 0.250 0.500
Ca 0.376 0.125 0.250
Ca 0.374 0.625 0.250
Ca 0.375 0.624 0.750
Ca 0.875 0.626 0.750
C 0.500 0.500 0.000
C 0.250 0.750 0.500

Output
energy of formation: 486 meV per atom
space group: No. 122


Entry from Alexandria via LeMat-Bulk: AlTl2Os after structural relaxation (PBE).

Cell lengths 7.895, 7.895, 4.101 Å; angles 74.95, 74.95, 22.17 degrees
Site moments in Bohr magnetons follow the coordinates.
Atoms (fractional coordinates):
Tl 0.922 0.922 0.078  0.01
Tl 0.578 0.578 0.422  0.01
Os 0.250 0.250 0.250  -0.19
Al 0.750 0.750 0.750  0.00

Output
energy of formation: 270 meV per atom
space group: No. 71